No. 1
Here is a relaxed VCoSe2 crystal from Alexandria. Energies are from PBE-GGA.

For the raw formation energy, the calculation gives 0.07 eV/f.u. The symmetry is Fm-3m, No. 225. The total energy is -5.781 eV per atom. The spin magnetization comes out at 0.3 μB/f.u. The volume comes out at 15.06 Å³ per atom. The density of states at the Fermi level comes out at 3.670 states/eV/f.u. The value obtained for the polymorph energy (0 for the lowest one) is 0.544 eV per atom.

Cell: 4.400 4.400 4.400 Å, 60.00 60.00 60.00°
Each line ends with the local moment (μB).
Fractional coordinates of all 4 atoms:
V (0.000, 0.000, 0.000)  1.56
Se (0.250, 0.250, 0.250)  -0.12
Se (0.750, 0.750, 0.750)  -0.12
Co (0.500, 0.500, 0.500)  -1.29

=====

No. 2
Here is a relaxed VCoSe2 crystal from Alexandria. Energies are from PBE-GGA.

For the raw formation energy, the calculation gives -0.68 eV/f.u. The symmetry is I-42d, No. 122. The total energy is -5.968 eV per atom. The spin magnetization comes out at 3.4 μB/f.u. The volume comes out at 20.97 Å³ per atom. The density of states at the Fermi level comes out at 4.339 states/eV/f.u. The value obtained for the polymorph energy (0 for the lowest one) is 0.357 eV per atom.

Cell: 5.473 5.473 6.808 Å, 66.30 66.30 90.00°
Each line ends with the local moment (μB).
Fractional coordinates of all 8 atoms:
Se (0.875, 0.892, 0.750)  -0.04
Se (0.108, 0.625, 0.250)  -0.04
Se (0.642, 0.125, 0.250)  -0.04
Se (0.375, 0.358, 0.750)  -0.04
V (0.250, 0.750, 0.500)  1.93
V (0.500, 0.500, 0.000)  1.93
Co (0.750, 0.250, 0.500)  1.22
Co (0.000, 0.000, 0.000)  1.22

=====

No. 3
Here is a relaxed V2ZnCoSe crystal from Alexandria. Energies are from PBE-GGA.

For the raw formation energy, the calculation gives 2.53 eV/f.u. The symmetry is P4/mmm, No. 123. The total energy is -5.514 eV per atom. The spin magnetization comes out at 2.9 μB/f.u. The volume comes out at 17.38 Å³ per atom. The density of states at the Fermi level comes out at 4.537 states/eV/f.u.

Cell: 4.402 4.486 4.402 Å, 90.00 90.00 90.00°
Each line ends with the local moment (μB).
Fractional coordinates of all 5 atoms:
Zn (0.000, 0.500, 0.000)  -0.01
Se (0.500, 0.500, 0.500)  -0.09
V (0.000, 0.000, 0.500)  1.28
V (0.500, 0.000, 0.000)  1.60
Co (0.000, 0.000, 0.000)  -0.27

=====

No. 4
Here is a relaxed CoWSe2 crystal from Alexandria. Energies are from PBE-GGA.

For the raw formation energy, the calculation gives 1.12 eV/f.u. The symmetry is P4/mmm, No. 123. The total energy is -6.476 eV per atom. The spin magnetization comes out at 1.2 μB/f.u. The volume comes out at 15.19 Å³ per atom. The density of states at the Fermi level comes out at 3.584 states/eV/f.u. The value obtained for the polymorph energy (0 for the lowest one) is 0.399 eV per atom.

Cell: 3.136 3.136 6.176 Å, 90.00 90.00 90.00°
Each line ends with the local moment (μB).
Fractional coordinates of all 4 atoms:
Co (0.500, 0.500, 0.750)  1.34
Se (0.000, 0.000, 0.499)  0.03
Se (0.000, 0.000, 0.001)  0.03
W (0.500, 0.500, 0.250)  -0.14

=====

No. 5
Here is a relaxed CoWSe2 crystal from Alexandria. Energies are from PBE-GGA.

For the raw formation energy, the calculation gives 0.81 eV/f.u. The symmetry is R-3m, No. 166. The total energy is -6.554 eV per atom. The spin magnetization comes out at 1.3 μB/f.u. The volume comes out at 18.01 Å³ per atom. The density of states at the Fermi level comes out at 2.668 states/eV/f.u. The value obtained for the polymorph energy (0 for the lowest one) is 0.320 eV per atom.

Cell: 8.299 8.299 8.299 Å, 22.27 22.27 22.27°
Each line ends with the local moment (μB).
Fractional coordinates of all 4 atoms:
Co (0.000, 0.000, 0.000)  1.50
Se (0.906, 0.906, 0.906)  0.01
Se (0.094, 0.094, 0.094)  0.01
W (0.500, 0.500, 0.500)  -0.09

=====

No. 6
Here is a relaxed CoWSe2 crystal from Alexandria. Energies are from PBE-GGA.

For the raw formation energy, the calculation gives 0.13 eV/f.u. The symmetry is Immm, No. 71. The total energy is -6.725 eV per atom. The spin magnetization comes out at 1.0 μB/f.u. The volume comes out at 22.67 Å³ per atom. The density of states at the Fermi level comes out at 2.092 states/eV/f.u. The value obtained for the polymorph energy (0 for the lowest one) is 0.149 eV per atom.

Cell: 7.411 7.411 7.411 Å, 152.63 150.95 40.34°
Each line ends with the local moment (μB).
Fractional coordinates of all 4 atoms:
Se (0.123, 0.123, 0.000)  0.03
Se (0.377, 0.377, 0.000)  0.03
W (0.750, 0.250, 0.500)  0.07
Co (0.250, 0.750, 0.500)  0.85

=====

No. 7
Here is a relaxed CoWSe2 crystal from Alexandria. Energies are from PBE-GGA.

For the raw formation energy, the calculation gives 1.26 eV/f.u. The symmetry is C2/m, No. 12. The total energy is -6.442 eV per atom. The spin magnetization comes out at 1.0 μB/f.u. The volume comes out at 16.41 Å³ per atom. The density of states at the Fermi level comes out at 3.820 states/eV/f.u. The value obtained for the polymorph energy (0 for the lowest one) is 0.433 eV per atom.

Cell: 4.355 4.355 5.127 Å, 85.15 85.15 42.69°
Each line ends with the local moment (μB).
Fractional coordinates of all 4 atoms:
W (0.750, 0.750, 0.750)  -0.01
Co (0.250, 0.250, 0.250)  0.97
Se (0.037, 0.037, 0.986)  0.01
Se (0.463, 0.463, 0.514)  0.01

=====

No. 8
Here is a relaxed CoWSe2 crystal from Alexandria. Energies are from PBE-GGA.

For the raw formation energy, the calculation gives 2.66 eV/f.u. The symmetry is C2/m, No. 12. The total energy is -6.092 eV per atom. The spin magnetization comes out at 1.1 μB/f.u. The volume comes out at 17.06 Å³ per atom. The density of states at the Fermi level comes out at 4.258 states/eV/f.u. The value obtained for the polymorph energy (0 for the lowest one) is 0.782 eV per atom.

Cell: 5.761 5.761 2.713 Å, 62.40 62.40 89.48°
Each line ends with the local moment (μB).
Fractional coordinates of all 4 atoms:
Se (0.500, 0.500, 0.000)  0.00
Se (0.000, 0.000, 0.000)  0.00
Co (0.000, 0.500, 0.500)  1.21
W (0.500, 0.000, 0.500)  -0.07